No. 1
The following is a PBE calculation of a relaxed KNbIrO6 crystal, from Alexandria via LeMat-Bulk.

Magnetic moment (μB per formula unit): 3.014
Crystal system: trigonal
Final energy (eV/atom): -7.07
Raw formation energy (meV per atom): -1536

```
data_KNbIrO6
_chemical_formula_sum 'K1 Nb1 Ir1 O6'
_space_group_name_H-M_alt 'P 3'
_space_group_IT_number 143
_space_group_name_Hall 'P 3'
_cell_length_a 5.3362
_cell_length_b 5.3362
_cell_length_c 5.9970
_cell_angle_alpha 90.00
_cell_angle_beta 90.00
_cell_angle_gamma 120.00
loop_
_atom_site_label
_atom_site_fract_x
_atom_site_fract_y
_atom_site_fract_z
K1 0.0000 0.0000 0.0000
Nb1 0.3333 0.6667 0.4730
Ir1 0.6667 0.3333 0.5243
O1 0.3825 0.3695 0.3258
O2 0.3922 0.0050 0.6922
```

No. 2
The following is a PBE calculation of a relaxed Sm15YTl4 crystal, from Alexandria via LeMat-Bulk.

Magnetic moment (μB per formula unit): 0.002
Crystal system: tetragonal
Final energy (eV/atom): -4.48
ΔE_f (kcal/mol of atoms): -3.4

```
data_Sm15YTl4
_chemical_formula_sum 'Sm15 Y1 Tl4'
_space_group_name_H-M_alt 'P 4/m m m'
_space_group_IT_number 123
_space_group_name_Hall '-P 4 2'
_cell_length_a 4.9411
_cell_length_b 4.9411
_cell_length_c 25.2478
_cell_angle_alpha 90.00
_cell_angle_beta 90.00
_cell_angle_gamma 90.00
loop_
_atom_site_label
_atom_site_fract_x
_atom_site_fract_y
_atom_site_fract_z
Sm1 0.0000 0.0000 0.0000
Sm2 0.0000 0.0000 0.2044
Sm3 0.0000 0.0000 0.4019
Sm4 0.0000 0.5000 0.1050
Sm5 0.0000 0.5000 0.3032
Sm6 0.0000 0.5000 0.5000
Y1 0.5000 0.5000 0.0000
Tl1 0.5000 0.5000 0.2064
Tl2 0.5000 0.5000 0.4018
```

No. 3
The following is a PBE calculation of a relaxed Pu2GaNi4P3 crystal, from Alexandria via LeMat-Bulk.

Magnetic moment (μB per formula unit): 9.925
Crystal system: tetragonal
Final energy (eV/atom): -7.86
ΔE_f (kcal/mol of atoms): -17.4

```
data_Pu2GaNi4P3
_chemical_formula_sum 'Pu2 Ga1 Ni4 P3'
_space_group_name_H-M_alt 'P -4 m 2'
_space_group_IT_number 115
_space_group_name_Hall 'P -4 -2'
_cell_length_a 3.9552
_cell_length_b 3.9552
_cell_length_c 9.4690
_cell_angle_alpha 90.00
_cell_angle_beta 90.00
_cell_angle_gamma 90.00
loop_
_atom_site_label
_atom_site_fract_x
_atom_site_fract_y
_atom_site_fract_z
Pu1 0.0000 0.5000 0.2439
Ga1 0.0000 0.0000 0.5000
Ni1 0.0000 0.0000 0.0000
Ni2 0.0000 0.5000 0.6316
Ni3 0.5000 0.5000 0.0000
P1 0.0000 0.5000 0.8681
P2 0.5000 0.5000 0.5000
```

No. 4
The following is a PBE calculation of a relaxed La2AlRh crystal, from Alexandria via LeMat-Bulk.

Magnetic moment (μB per formula unit): 0.000
Crystal system: monoclinic
Final energy (eV/atom): -5.73
ΔE_f (kcal/mol of atoms): -11.4

```
data_La2AlRh
_chemical_formula_sum 'La2 Al1 Rh1'
_space_group_name_H-M_alt 'P 1 2/m 1'
_space_group_IT_number 10
_space_group_name_Hall '-P 2y'
_cell_length_a 3.8260
_cell_length_b 3.8043
_cell_length_c 6.9951
_cell_angle_alpha 90.00
_cell_angle_beta 95.74
_cell_angle_gamma 90.00
loop_
_atom_site_label
_atom_site_fract_x
_atom_site_fract_y
_atom_site_fract_z
La1 0.0590 0.0000 0.2685
Al1 0.5000 0.5000 0.0000
Rh1 0.5000 0.5000 0.5000
```

No. 5
The following is a PBE calculation of a relaxed Li5S2I crystal, from Alexandria via LeMat-Bulk.

Magnetic moment (μB per formula unit): 0.000
Crystal system: monoclinic
Final energy (eV/atom): -3.64
Raw formation energy (meV per atom): -1219

```
data_Li5S2I
_chemical_formula_sum 'Li20 S8 I4'
_space_group_name_H-M_alt 'P 1 21/c 1'
_space_group_IT_number 14
_space_group_name_Hall '-P 2ybc'
_cell_length_a 10.4280
_cell_length_b 8.7846
_cell_length_c 6.9813
_cell_angle_alpha 90.00
_cell_angle_beta 94.77
_cell_angle_gamma 90.00
loop_
_atom_site_label
_atom_site_fract_x
_atom_site_fract_y
_atom_site_fract_z
Li1 0.0511 0.1412 0.4266
Li2 0.1020 0.5898 0.4294
Li3 0.2479 0.6419 0.7858
Li4 0.4176 0.1055 0.9175
Li5 0.4233 0.6473 0.1623
S1 0.0200 0.6217 0.7490
S2 0.3482 0.6415 0.4790
I1 0.3287 0.1197 0.5064
```

No. 6
The following is a PBE calculation of a relaxed ThIr4Rh crystal, from Alexandria via LeMat-Bulk.

Magnetic moment (μB per formula unit): 0.000
Crystal system: orthorhombic
Final energy (eV/atom): -8.62
ΔE_f (kcal/mol of atoms): -5.9

```
data_ThIr4Rh
_chemical_formula_sum 'Th4 Ir16 Rh4'
_space_group_name_H-M_alt 'C m c m'
_space_group_IT_number 63
_space_group_name_Hall '-C 2c 2'
_cell_length_a 3.9631
_cell_length_b 16.3988
_cell_length_c 6.5687
_cell_angle_alpha 90.00
_cell_angle_beta 90.00
_cell_angle_gamma 90.00
loop_
_atom_site_label
_atom_site_fract_x
_atom_site_fract_y
_atom_site_fract_z
Th1 0.0000 0.1031 0.2500
Ir1 0.0000 0.0815 0.7500
Ir2 0.0000 0.3383 0.0552
Ir3 0.0000 0.5000 0.0000
Rh1 0.0000 0.2419 0.7500
```

No. 7
The following is a PBE calculation of a relaxed PrAg8Au3 crystal, from Alexandria via LeMat-Bulk.

Magnetic moment (μB per formula unit): 0.000
Crystal system: trigonal
Final energy (eV/atom): -3.13
ΔE_f (kcal/mol of atoms): -0.4

```
data_PrAg8Au3
_chemical_formula_sum 'Pr1 Ag8 Au3'
_space_group_name_H-M_alt 'P 3 m 1'
_space_group_IT_number 156
_space_group_name_Hall 'P 3 -2"'
_cell_length_a 5.5069
_cell_length_b 5.5069
_cell_length_c 9.0789
_cell_angle_alpha 90.00
_cell_angle_beta 90.00
_cell_angle_gamma 120.00
loop_
_atom_site_label
_atom_site_fract_x
_atom_site_fract_y
_atom_site_fract_z
Pr1 0.0000 0.0000 0.0000
Ag1 0.1638 0.3277 0.6829
Ag2 0.3333 0.6667 0.4394
Ag3 0.3333 0.6667 0.9375
Ag4 0.5031 0.0062 0.1973
Au1 0.0000 0.0000 0.3576
Au2 0.6667 0.3333 0.5012
Au3 0.6667 0.3333 0.8926
```

No. 8
The following is a PBE calculation of a relaxed Cd3Ag4Pd2 crystal, from Alexandria via LeMat-Bulk.

Magnetic moment (μB per formula unit): 0.000
Crystal system: monoclinic
Final energy (eV/atom): -2.85
ΔE_f (kcal/mol of atoms): -3.0

```
data_Cd3Ag4Pd2
_chemical_formula_sum 'Cd12 Ag16 Pd8'
_space_group_name_H-M_alt 'C 1 2/c 1'
_space_group_IT_number 15
_space_group_name_Hall '-C 2yc'
_cell_length_a 13.3568
_cell_length_b 9.9630
_cell_length_c 5.0169
_cell_angle_alpha 90.00
_cell_angle_beta 99.58
_cell_angle_gamma 90.00
loop_
_atom_site_label
_atom_site_fract_x
_atom_site_fract_y
_atom_site_fract_z
Cd1 0.0000 0.1151 0.2500
Cd2 0.1704 0.3705 0.0779
Ag1 0.0545 0.3730 0.5278
Ag2 0.2192 0.1213 0.3712
Pd1 0.1101 0.1285 0.8100
```

No. 9
The following is a PBE calculation of a relaxed Pr6PaSe8 crystal, from Alexandria via LeMat-Bulk.

Magnetic moment (μB per formula unit): 2.027
Crystal system: cubic
Final energy (eV/atom): -6.16
Raw formation energy (meV per atom): -1754

```
data_Pr6PaSe8
_chemical_formula_sum 'Pr24 Pa4 Se32'
_space_group_name_H-M_alt 'F m -3 m'
_space_group_IT_number 225
_space_group_name_Hall '-F 4 2 3'
_cell_length_a 12.0051
_cell_length_b 12.0051
_cell_length_c 12.0051
_cell_angle_alpha 90.00
_cell_angle_beta 90.00
_cell_angle_gamma 90.00
loop_
_atom_site_label
_atom_site_fract_x
_atom_site_fract_y
_atom_site_fract_z
Pr1 0.0000 0.2500 0.2500
Pa1 0.0000 0.0000 0.0000
Se1 0.0000 0.0000 0.2458
Se2 0.2500 0.2500 0.2500
```

No. 10
The following is a PBE calculation of a relaxed RePd2Rh crystal, from Alexandria via LeMat-Bulk.

Magnetic moment (μB per formula unit): 0.000
Crystal system: cubic
Relative energy among the computed polymorphs (meV per atom): 423
Final energy (eV/atom): -7.16
ΔE_f (kcal/mol of atoms): 8.9

```
data_RePd2Rh
_chemical_formula_sum 'Re4 Pd8 Rh4'
_space_group_name_H-M_alt 'F m -3 m'
_space_group_IT_number 225
_space_group_name_Hall '-F 4 2 3'
_cell_length_a 6.2102
_cell_length_b 6.2102
_cell_length_c 6.2102
_cell_angle_alpha 90.00
_cell_angle_beta 90.00
_cell_angle_gamma 90.00
loop_
_atom_site_label
_atom_site_fract_x
_atom_site_fract_y
_atom_site_fract_z
Re1 0.0000 0.0000 0.0000
Pd1 0.2500 0.2500 0.2500
Rh1 0.0000 0.0000 0.5000
```

No. 11
The following is a PBE calculation of a relaxed Tb5Cu2Pt crystal, from Alexandria via LeMat-Bulk.

Magnetic moment (μB per formula unit): 0.000
Crystal system: tetragonal
Final energy (eV/atom): -5.11
ΔE_f (kcal/mol of atoms): -10.1

```
data_Tb5Cu2Pt
_chemical_formula_sum 'Tb20 Cu8 Pt4'
_space_group_name_H-M_alt 'I 4/m c m'
_space_group_IT_number 140
_space_group_name_Hall '-I 4 2c'
_cell_length_a 7.0657
_cell_length_b 7.0657
_cell_length_c 15.5398
_cell_angle_alpha 90.00
_cell_angle_beta 90.00
_cell_angle_gamma 90.00
loop_
_atom_site_label
_atom_site_fract_x
_atom_site_fract_y
_atom_site_fract_z
Tb1 0.0000 0.0000 0.0000
Tb2 0.1737 0.3263 0.1501
Cu1 0.1222 0.3778 0.5000
Pt1 0.0000 0.0000 0.2500
```

No. 12
The following is a PBE calculation of a relaxed Tm3TlGa2 crystal, from Alexandria via LeMat-Bulk.

Magnetic moment (μB per formula unit): 0.000
Crystal system: tetragonal
Final energy (eV/atom): -4.11
ΔE_f (kcal/mol of atoms): -11.0

```
data_Tm3TlGa2
_chemical_formula_sum 'Tm3 Tl1 Ga2'
_space_group_name_H-M_alt 'P 4/m m m'
_space_group_IT_number 123
_space_group_name_Hall '-P 4 2'
_cell_length_a 3.5641
_cell_length_b 3.5641
_cell_length_c 11.0861
_cell_angle_alpha 90.00
_cell_angle_beta 90.00
_cell_angle_gamma 90.00
loop_
_atom_site_label
_atom_site_fract_x
_atom_site_fract_y
_atom_site_fract_z
Tm1 0.0000 0.0000 0.0000
Tm2 0.0000 0.0000 0.3145
Tl1 0.5000 0.5000 0.5000
Ga1 0.5000 0.5000 0.1581
```

The highest magnetic moment belongs to which entry? Pu2GaNi4P3

Among the records above, which one has the highest final energy? Cd3Ag4Pd2